(1)
Pm2ErTa PBE optimized geometry; SG = R-3m, No. 166; formation energy from the elements = 0.6382 eV per atom
1.0
1.6526 0.9541 11.8251
-1.6526 0.9541 11.8251
0.0000 -1.9082 11.8251
Pm Er Ta
2 1 1
direct
0.0830 0.0830 0.0830
0.9170 0.9170 0.9170
0.5000 0.5000 0.5000
0.0000 0.0000 0.0000

=====

(2)
PmEr2Ta PBE optimized geometry; SG = R-3m, No. 166; formation energy from the elements = 0.6061 eV per atom
1.0
1.6357 0.9444 11.7484
-1.6357 0.9444 11.7484
0.0000 -1.8888 11.7484
Pm Er Ta
1 2 1
direct
0.0000 0.0000 0.0000
0.4173 0.4173 0.4173
0.5827 0.5827 0.5827
0.5000 0.5000 0.5000

=====

(3)
Tb2Pm2Er7 PBE optimized geometry; SG = C2/m, No. 12; formation energy from the elements = 0.1540 eV per atom
1.0
5.5821 -5.7489 0.0000
5.5821 5.7489 0.0000
-2.4404 0.0000 5.5270
Tb Pm Er
2 2 7
direct
0.2123 0.7877 0.0000
0.7877 0.2123 0.0000
0.4058 0.4058 0.6927
0.5942 0.5942 0.3073
0.0000 0.0000 0.5000
0.0641 0.5888 0.3221
0.2301 0.2301 0.0787
0.4112 0.9359 0.6779
0.5888 0.0641 0.3221
0.7699 0.7699 0.9213
0.9359 0.4112 0.6779

=====

(4)
Tb6PmEr PBE optimized geometry; SG = P-1, No. 2; formation energy from the elements = 0.1998 eV per atom
1.0
6.5423 0.0000 0.0000
-0.0171 6.7365 0.0000
-1.6866 -3.3026 5.8884
Tb Pm Er
6 1 1
direct
0.2275 0.4029 0.4723
0.2476 0.9541 0.9978
0.2685 0.9228 0.5177
0.7315 0.0772 0.4823
0.7524 0.0459 0.0022
0.7725 0.5971 0.5277
0.5000 0.5000 0.0000
0.0000 0.5000 0.0000

=====

- What is the formula in the second record?
  PmEr2Ta